Entry 1:
Here is a PBEsol-optimized structure of AlAs2Rh from Alexandria. Energies are from meta-GGA SCAN.

space-group type: No. 47
formation enthalpy at 0 K: -11 meV per atom
VASP energy: -82.0 eV/f.u.
volume: 64.3 Å³/cell
crystal system: orthorhombic
magnetization: 0.0 μB/cell

abc: 3.4930 4.1266 4.4623
angles: 90.00 90.00 90.00
Positions (direct):
Al 0.0000 0.0000 0.0000
As 0.0000 0.5000 0.5000
As 0.5000 0.0000 0.5000
Rh 0.5000 0.5000 0.0000

Entry 2:
Here is a PBEsol-optimized structure of K4YAs from Alexandria. Energies are from meta-GGA SCAN.

space-group type: No. 216
formation enthalpy at 0 K: 582 meV per atom
VASP energy: -77.9 eV/f.u.
volume: 236.6 Å³/cell
crystal system: cubic
magnetization: 0.0 μB/cell

abc: 6.9423 6.9423 6.9423
angles: 60.00 60.00 60.00
Positions (direct):
K 0.1219 0.1219 0.1219
K 0.1219 0.1219 0.6344
K 0.1219 0.6344 0.1219
K 0.6344 0.1219 0.1219
Y 0.5000 0.5000 0.5000
As 0.7500 0.7500 0.7500

Entry 3:
Here is a PBEsol-optimized structure of NaWSCl2 from Alexandria. Energies are from meta-GGA SCAN.

space-group type: No. 123
raw formation energy: -569.6 meV per atom
VASP energy: -102.3 eV/f.u.
volume: 110.1 Å³/cell
crystal system: tetragonal
magnetization: 1.1 μB/cell

abc: 4.9061 4.9061 4.5743
angles: 90.00 90.00 90.00
Positions (direct):
Na 0.0000 0.0000 0.0000
W 0.5000 0.5000 0.5000
S 0.5000 0.5000 0.0000
Cl 0.0000 0.5000 0.5000
Cl 0.5000 0.0000 0.5000

volume of number 2 (K4YAs)? 236.6 Å³/cell